1.
Entry from Alexandria: an optimized crystal structure of YNbP2 (PBE-GGA).

a = 5.920 Å, b = 5.920 Å, c = 7.252 Å
α = 65.91°, β = 65.91°, γ = 90.00°
Last column: magnetic moment on the atom in μB.
Element x y z (fractional)
P  0.875  0.918  0.750  -0.01
P  0.668  0.125  0.250  -0.01
P  0.375  0.332  0.750  -0.01
P  0.082  0.625  0.250  -0.01
Nb  0.000  0.000  0.000  0.33
Nb  0.750  0.250  0.500  0.34
Y  0.500  0.500  0.000  0.02
Y  0.250  0.750  0.500  0.02

Summary:
- size of the total moment (μB per atom) = 0.11
- space-group type = I-42d
- ΔH_f (0 K) (meV/atom) = -528.6
- E above lowest polymorph (eV per atom) = 0.5908

---

2.
Entry from Alexandria: an optimized crystal structure of YNbP3 (PBE-GGA).

a = 5.025 Å, b = 5.025 Å, c = 5.025 Å
α = 90.00°, β = 90.00°, γ = 90.00°
Element x y z (fractional)
Y  0.000  0.000  0.000
P  0.000  0.500  0.000
P  0.000  0.000  0.500
P  0.500  0.000  0.000
Nb  0.500  0.500  0.500

Summary:
- size of the total moment (μB per atom) = 0.00
- space-group type = Pm-3m
- ΔH_f (0 K) (meV/atom) = 1181.3
- E above lowest polymorph (eV per atom) = 1.4698

---

3.
Entry from Alexandria: an optimized crystal structure of Nb2ZnP2 (PBE-GGA).

a = 6.887 Å, b = 6.887 Å, c = 3.243 Å
α = 90.00°, β = 90.00°, γ = 90.00°
Element x y z (fractional)
P  0.140  0.360  0.000
P  0.360  0.860  0.000
P  0.860  0.640  0.000
P  0.640  0.140  0.000
Nb  0.154  0.654  0.500
Nb  0.654  0.846  0.500
Nb  0.846  0.346  0.500
Nb  0.346  0.154  0.500
Zn  0.500  0.500  0.000
Zn  0.000  0.000  0.000

Summary:
- size of the total moment (μB per atom) = 0.00
- space-group type = P4/mbm
- ΔH_f (0 K) (meV/atom) = -495.0
- E above lowest polymorph (eV per atom) = 0.0345

---

4.
Entry from Alexandria: an optimized crystal structure of NbZnP2 (PBE-GGA).

a = 5.675 Å, b = 5.675 Å, c = 6.722 Å
α = 65.03°, β = 65.03°, γ = 90.00°
Element x y z (fractional)
Nb  0.750  0.250  0.500
Nb  0.000  0.000  0.000
P  0.375  0.377  0.750
P  0.875  0.873  0.750
P  0.127  0.625  0.250
P  0.623  0.125  0.250
Zn  0.250  0.750  0.500
Zn  0.500  0.500  0.000

Summary:
- size of the total moment (μB per atom) = 0.00
- space-group type = I-42d
- ΔH_f (0 K) (meV/atom) = -93.6

---

5.
Entry from Alexandria: an optimized crystal structure of NbZnP3 (PBE-GGA).

a = 4.507 Å, b = 4.507 Å, c = 4.507 Å
α = 90.00°, β = 90.00°, γ = 90.00°
Element x y z (fractional)
P  0.000  0.000  0.500
P  0.000  0.500  0.000
P  0.500  0.000  0.000
Zn  0.000  0.000  0.000
Nb  0.500  0.500  0.500

Summary:
- size of the total moment (μB per atom) = 0.00
- space-group type = Pm-3m
- ΔH_f (0 K) (meV/atom) = 1047.6
- E above lowest polymorph (eV per atom) = 0.5791

---

6.
Entry from Alexandria: an optimized crystal structure of NbZnP (PBE-GGA).

a = 3.243 Å, b = 3.243 Å, c = 11.596 Å
α = 98.02°, β = 98.02°, γ = 59.94°
Element x y z (fractional)
Zn  0.861  0.861  0.583
Zn  0.139  0.139  0.417
P  0.031  0.031  0.094
P  0.969  0.969  0.906
Nb  0.410  0.410  0.231
Nb  0.590  0.590  0.769

Summary:
- size of the total moment (μB per atom) = 0.00
- space-group type = R-3m
- ΔH_f (0 K) (meV/atom) = -178.7

---

7.
Entry from Alexandria: an optimized crystal structure of Nb3ZnP (PBE-GGA).

a = 4.621 Å, b = 4.621 Å, c = 4.621 Å
α = 90.00°, β = 90.00°, γ = 90.00°
Element x y z (fractional)
Nb  0.500  0.000  0.000
Nb  0.000  0.000  0.500
Nb  0.000  0.500  0.000
Zn  0.500  0.500  0.500
P  0.000  0.000  0.000

Summary:
- size of the total moment (μB per atom) = 0.00
- space-group type = Pm-3m
- ΔH_f (0 K) (meV/atom) = 286.2
- E above lowest polymorph (eV per atom) = 0.0000

---

8.
Entry from Alexandria: an optimized crystal structure of NbZnP3 (PBE-GGA).

a = 4.824 Å, b = 4.824 Å, c = 4.824 Å
α = 90.00°, β = 90.00°, γ = 90.00°
Element x y z (fractional)
Zn  0.500  0.500  0.500
Nb  0.000  0.000  0.000
P  0.000  0.000  0.500
P  0.000  0.500  0.000
P  0.500  0.000  0.000

Summary:
- size of the total moment (μB per atom) = 0.00
- space-group type = Pm-3m
- ΔH_f (0 K) (meV/atom) = 468.5
- E above lowest polymorph (eV per atom) = 0.0000

---

9.
Entry from Alexandria: an optimized crystal structure of Nb2ZnP2 (PBE-GGA).

a = 7.027 Å, b = 7.027 Å, c = 3.246 Å
α = 90.00°, β = 90.00°, γ = 90.00°
Element x y z (fractional)
Zn  0.000  0.000  0.000
Zn  0.500  0.500  0.000
Nb  0.852  0.648  0.000
Nb  0.148  0.352  0.000
Nb  0.648  0.148  0.000
Nb  0.352  0.852  0.000
P  0.143  0.643  0.500
P  0.357  0.143  0.500
P  0.643  0.857  0.500
P  0.857  0.357  0.500

Summary:
- size of the total moment (μB per atom) = 0.00
- space-group type = P4/mbm
- ΔH_f (0 K) (meV/atom) = -529.5
- E above lowest polymorph (eV per atom) = 0.0000

---

10.
Entry from Alexandria: an optimized crystal structure of ZrNb2P2 (PBE-GGA).

a = 6.967 Å, b = 6.967 Å, c = 3.389 Å
α = 90.00°, β = 90.00°, γ = 90.00°
Element x y z (fractional)
P  0.357  0.857  0.000
P  0.857  0.643  0.000
P  0.143  0.357  0.000
P  0.643  0.143  0.000
Nb  0.649  0.851  0.500
Nb  0.851  0.351  0.500
Nb  0.149  0.649  0.500
Nb  0.351  0.149  0.500
Zr  0.000  0.000  0.000
Zr  0.500  0.500  0.000

Summary:
- size of the total moment (μB per atom) = 0.00
- space-group type = P4/mbm
- ΔH_f (0 K) (meV/atom) = -844.6

---

11.
Entry from Alexandria: an optimized crystal structure of ZrNbP2 (PBE-GGA).

a = 3.588 Å, b = 3.588 Å, c = 6.614 Å
α = 74.26°, β = 74.26°, γ = 60.00°
Element x y z (fractional)
P  0.247  0.247  0.259
P  0.087  0.087  0.738
Nb  0.495  0.495  0.516
Zr  0.671  0.671  0.987

Summary:
- size of the total moment (μB per atom) = 0.00
- space-group type = R3m
- ΔH_f (0 K) (meV/atom) = -1061.1
- E above lowest polymorph (eV per atom) = 0.0000

---

12.
Entry from Alexandria: an optimized crystal structure of Zr3NbP (PBE-GGA).

a = 4.855 Å, b = 4.855 Å, c = 4.855 Å
α = 90.00°, β = 90.00°, γ = 90.00°
Element x y z (fractional)
Zr  0.000  0.000  0.500
Zr  0.000  0.500  0.000
Zr  0.500  0.000  0.000
P  0.000  0.000  0.000
Nb  0.500  0.500  0.500

Summary:
- size of the total moment (μB per atom) = 0.00
- space-group type = Pm-3m
- ΔH_f (0 K) (meV/atom) = -83.7
- E above lowest polymorph (eV per atom) = 0.0000

---

13.
Entry from Alexandria: an optimized crystal structure of ZrNbP (PBE-GGA).

a = 3.585 Å, b = 6.928 Å, c = 8.333 Å
α = 90.00°, β = 90.00°, γ = 90.00°
Element x y z (fractional)
P  0.750  0.239  0.858
P  0.750  0.739  0.642
P  0.250  0.261  0.358
P  0.250  0.761  0.142
Zr  0.750  0.466  0.169
Zr  0.250  0.534  0.831
Zr  0.250  0.034  0.669
Zr  0.750  0.966  0.331
Nb  0.750  0.361  0.560
Nb  0.250  0.139  0.060
Nb  0.750  0.861  0.940
Nb  0.250  0.639  0.440

Summary:
- size of the total moment (μB per atom) = 0.00
- space-group type = Pnma
- ΔH_f (0 K) (meV/atom) = -1090.2
- E above lowest polymorph (eV per atom) = 0.0000

---

14.
Entry from Alexandria: an optimized crystal structure of ZrNbP3 (PBE-GGA).

a = 4.871 Å, b = 4.871 Å, c = 4.871 Å
α = 90.00°, β = 90.00°, γ = 90.00°
Element x y z (fractional)
P  0.000  0.000  0.500
P  0.500  0.000  0.000
P  0.000  0.500  0.000
Zr  0.000  0.000  0.000
Nb  0.500  0.500  0.500

Summary:
- size of the total moment (μB per atom) = 0.00
- space-group type = Pm-3m
- ΔH_f (0 K) (meV/atom) = 847.3
- E above lowest polymorph (eV per atom) = 0.5911

---

15.
Entry from Alexandria: an optimized crystal structure of Zr2NbP2 (PBE-GGA).

a = 6.847 Å, b = 6.847 Å, c = 3.661 Å
α = 90.00°, β = 90.00°, γ = 90.00°
Element x y z (fractional)
P  0.642  0.142  0.000
P  0.858  0.642  0.000
P  0.142  0.358  0.000
P  0.358  0.858  0.000
Zr  0.662  0.838  0.500
Zr  0.338  0.162  0.500
Zr  0.838  0.338  0.500
Zr  0.162  0.662  0.500
Nb  0.500  0.500  0.000
Nb  0.000  0.000  0.000

Summary:
- size of the total moment (μB per atom) = 0.00
- space-group type = P4/mbm
- ΔH_f (0 K) (meV/atom) = -1102.8

---

16.
Entry from Alexandria: an optimized crystal structure of ZrNbP2 (PBE-GGA).

a = 4.509 Å, b = 4.509 Å, c = 4.509 Å
α = 60.00°, β = 60.00°, γ = 60.00°
Element x y z (fractional)
Zr  0.000  0.000  0.000
P  0.750  0.750  0.750
P  0.250  0.250  0.250
Nb  0.500  0.500  0.500

Summary:
- size of the total moment (μB per atom) = 0.00
- space-group type = Fm-3m
- ΔH_f (0 K) (meV/atom) = -797.7
- E above lowest polymorph (eV per atom) = 0.2634

---

17.
Entry from Alexandria: an optimized crystal structure of ZrNbP2 (PBE-GGA).

a = 3.677 Å, b = 3.677 Å, c = 6.333 Å
α = 73.13°, β = 73.13°, γ = 60.00°
Element x y z (fractional)
Zr  0.500  0.500  0.500
P  0.747  0.747  0.759
P  0.253  0.253  0.241
Nb  0.000  0.000  0.000

Summary:
- size of the total moment (μB per atom) = 0.00
- space-group type = R-3m
- ΔH_f (0 K) (meV/atom) = -964.4
- E above lowest polymorph (eV per atom) = 0.0967

---

18.
Entry from Alexandria: an optimized crystal structure of ZrNbP3 (PBE-GGA).

a = 4.744 Å, b = 4.744 Å, c = 4.744 Å
α = 90.00°, β = 90.00°, γ = 90.00°
Element x y z (fractional)
P  0.000  0.500  0.000
P  0.000  0.000  0.500
P  0.500  0.000  0.000
Zr  0.500  0.500  0.500
Nb  0.000  0.000  0.000

Summary:
- size of the total moment (μB per atom) = 0.00
- space-group type = Pm-3m
- ΔH_f (0 K) (meV/atom) = 256.2
- E above lowest polymorph (eV per atom) = 0.0000

---

19.
Entry from Alexandria: an optimized crystal structure of ZrNbP (PBE-GGA).

a = 3.584 Å, b = 8.124 Å, c = 8.125 Å
α = 93.14°, β = 102.74°, γ = 90.00°
Element x y z (fractional)
Zr  0.080  0.398  0.159
Zr  0.421  0.177  0.842
Zr  0.920  0.602  0.841
Zr  0.579  0.823  0.158
P  0.411  0.845  0.821
P  0.661  0.564  0.321
P  0.589  0.155  0.179
P  0.339  0.436  0.679
Nb  0.749  0.319  0.498
Nb  0.814  0.943  0.627
Nb  0.251  0.681  0.502
Nb  0.186  0.057  0.373

Summary:
- size of the total moment (μB per atom) = 0.00
- space-group type = C2/m
- ΔH_f (0 K) (meV/atom) = -708.8
- E above lowest polymorph (eV per atom) = 0.3814

---

20.
Entry from Alexandria: an optimized crystal structure of Zr2NbP (PBE-GGA).

a = 8.025 Å, b = 8.025 Å, c = 6.219 Å
α = 49.82°, β = 49.82°, γ = 90.00°
Element x y z (fractional)
Zr  0.560  0.125  0.250
Zr  0.875  0.810  0.750
Zr  0.375  0.440  0.750
Zr  0.190  0.625  0.250
P  0.250  0.750  0.500
P  0.500  0.500  0.000
Nb  0.750  0.250  0.500
Nb  0.000  0.000  0.000

Summary:
- size of the total moment (μB per atom) = 0.00
- space-group type = I-42d
- ΔH_f (0 K) (meV/atom) = -143.5